# 1
Compound: TaAl3Si
Source: Alexandria
Functional: PBE-GGA
Structure: optimized geometry

Values from the calculation:
The space-group type is Pm-3m (221). The raw total energy is -23.31 eV per cell. The uncorrected formation energy is 1.039 eV per atom. The calculation puts the energy above the most stable polymorph in this dataset at 0 meV per atom.

```
5
Lattice="4.6190 0.0000 0.0000 0.0000 4.6190 0.0000 0.0000 0.0000 4.6190" Properties=species:S:1:pos:R:3 pbc="T T T"
Si 0.0000 0.0000 0.0000
Al 0.0000 2.3095 0.0000
Al 0.0000 0.0000 2.3095
Al 2.3095 0.0000 0.0000
Ta 2.3095 2.3095 2.3095
```

---

# 2
Compound: TaAlSi2
Source: Alexandria
Functional: PBE-GGA
Structure: optimized geometry

Values from the calculation:
The space-group type is I4/mmm (139). The raw total energy is -26.46 eV per cell. The uncorrected formation energy is -0.005 eV per atom.

```
4
Lattice="-0.2562 1.7642 -4.4772 1.7360 -3.2051 -3.1523 -3.2590 -0.3651 3.5311" Properties=species:S:1:pos:R:3 pbc="T T T"
Si 0.0000 0.0000 0.0000
Si 0.7399 -0.7204 -3.8147
Al -1.3876 0.3393 -2.3804
Ta -0.3915 -2.1453 -1.7179
```

---

# 3
Compound: Ta2AlSi2
Source: Alexandria
Functional: PBE-GGA
Structure: optimized geometry

Values from the calculation:
The space-group type is I4/mmm (139). The raw total energy is -38.87 eV per cell. The uncorrected formation energy is -0.115 eV per atom.

```
5
Lattice="3.4106 0.0000 0.0000 0.0000 3.4106 0.0000 1.7053 1.7053 7.1583" Properties=species:S:1:pos:R:3 pbc="T T T"
Si 3.4106 1.7053 3.5792
Si 1.7053 3.4106 3.5792
Al 0.0000 0.0000 0.0000
Ta 1.7053 1.7053 1.5645
Ta 3.4106 3.4106 5.5938
```

---

# 4
Compound: TaAlSi
Source: Alexandria
Functional: PBE-GGA
Structure: optimized geometry

Values from the calculation:
The space-group type is F-43m (216). The raw total energy is -20.19 eV per cell. The uncorrected formation energy is 0.275 eV per atom.

```
3
Lattice="4.2154 0.0000 0.0000 2.1077 3.6506 0.0000 2.1077 1.2169 3.4418" Properties=species:S:1:pos:R:3 pbc="T T T"
Si 6.3231 3.6506 2.5814
Al 4.2154 2.4337 1.7209
Ta 0.0000 0.0000 0.0000
```

---

# 5
Compound: TaAl2Si
Source: Alexandria
Functional: PBE-GGA
Structure: optimized geometry

Values from the calculation:
The space-group type is Cmm2 (35). The raw total energy is -24.95 eV per cell. The uncorrected formation energy is -0.048 eV per atom.

```
4
Lattice="-0.2974 -2.0885 1.8583 2.7988 0.1773 0.1965 -0.7738 5.5008 6.0582" Properties=species:S:1:pos:R:3 pbc="T T T"
Si -0.3898 2.7710 3.0517
Al -0.7723 5.4900 6.0463
Al 1.0531 0.4489 2.5742
Ta 0.6758 3.1311 5.5282
```

---

# 6
Compound: TaAl2Si
Source: Alexandria
Functional: PBE-GGA
Structure: optimized geometry

Values from the calculation:
The space-group type is P2/m (10). The raw total energy is -25.04 eV per cell. The uncorrected formation energy is -0.069 eV per atom.

```
4
Lattice="4.6059 0.0000 0.0000 0.0000 2.7911 0.0123 0.0000 0.5931 4.9305" Properties=species:S:1:pos:R:3 pbc="T T T"
Si 2.3029 0.8460 1.2357
Al 0.0000 0.3137 0.0226
Al 0.0000 1.3784 2.4488
Ta 2.3029 2.5381 3.7071
```